[1]
Computed, not measured: SrCdRe2 after structural relaxation at the PBE level of DFT.

Summary:
Space group: F-43m
Formation energy, eV per atom: 0.957
Raw total energy, eV per atom: -5.916
Volume, Å³ per cell: 78
N(E_F), states/eV/cell: 1.6

Geometry as POSCAR:
```
SrCdRe2
1.0
-4.094 -1.158 -2.203
2.067 -3.948 -1.760
0.031 0.817 4.721
Cd Re Sr
1 2 1
Direct
0.750 0.250 0.500
0.000 0.000 0.000
0.250 0.750 0.500
0.500 0.500 0.000
```

[2]
Computed, not measured: HgN2F2 after structural relaxation at the PBE level of DFT.

Summary:
Space group: P4/mmm
Uncorrected formation energy, meV/atom: 1622
Raw total energy, eV per atom: -2.517
Volume, Å³ per cell: 67
N(E_F), states/eV/cell: 2.3

Geometry as POSCAR:
```
HgN2F2
1.0
3.685 0.000 0.000
0.000 3.685 0.000
0.000 0.000 4.953
N Hg F
2 1 2
Direct
0.000 0.500 0.000
0.500 0.000 0.000
0.500 0.500 0.500
0.000 0.000 0.000
0.000 0.000 0.500
```

[3]
Computed, not measured: CaMg2GaH after structural relaxation at the PBE level of DFT.

Summary:
Space group: P4/mmm
Raw total energy, eV per atom: -2.507
Volume, Å³ per cell: 93
N(E_F), states/eV/cell: 2.3

Geometry as POSCAR:
```
CaMg2GaH
1.0
4.508 0.000 0.000
0.000 4.508 0.000
0.000 0.000 4.559
H Ca Mg Ga
1 1 2 1
Direct
0.000 0.000 0.000
0.000 0.000 0.500
0.000 0.500 0.000
0.500 0.000 0.000
0.500 0.500 0.500
```